Entry 1:
Below is a geometry-optimized AcPaHgPb structure, with properties calculated at the GGA-PBE level.

The space group is F-43m (No. 216) and the conventional cell measures 7.898, 7.898 and 7.898 Å, with angles of 90.00, 90.00 and 90.00 degrees. The inequivalent atoms are Ac at (0.000, 0.000, 0.000), Pa at (0.000, 0.000, 0.500), Hg at (0.250, 0.250, 0.250) and Pb at (0.250, 0.250, 0.750).

***

Entry 2:
Below is a geometry-optimized AcPaSnHg structure, with properties calculated at the GGA-PBE level.

The space group is F-43m (No. 216) and the conventional cell measures 7.825, 7.825 and 7.825 Å, with angles of 90.00, 90.00 and 90.00 degrees. The inequivalent atoms are Ac at (0.000, 0.000, 0.000), Pa at (0.000, 0.000, 0.500), Sn at (0.250, 0.250, 0.750) and Hg at (0.250, 0.250, 0.250).

***

Entry 3:
Below is a geometry-optimized AcHgPb structure, with properties calculated at the GGA-PBE level.

The calculation puts the offset from the most stable computed form at 0.266 eV/atom.

The space group is Pmmm (No. 47) and the conventional cell measures 4.413, 4.720 and 5.239 Å, with angles of 90.00, 90.00 and 90.00 degrees. The inequivalent atoms are Ac at (0.000, 0.000, 0.000), Hg at (0.500, 0.000, 0.500) and Pb at (0.000, 0.500, 0.500).

***

Entry 4:
Below is a geometry-optimized Ac2Hg6Pb structure, with properties calculated at the GGA-PBE level.

The calculation puts the offset from the most stable computed form at 0.025 eV/atom.

The space group is P6/mmm (No. 191) and the conventional cell measures 8.9363, 8.9363 and 3.7636 Å, with angles of 90.00, 90.00 and 120.00 degrees. The inequivalent atoms are Ac at (0.3333, 0.6667, 0.0000), Hg at (0.0000, 0.3280, 0.5000) and Pb at (0.0000, 0.0000, 0.0000).

***

Entry 5:
Below is a geometry-optimized Ac4HgPb2 structure, with properties calculated at the GGA-PBE level.

The calculation puts the offset from the most stable computed form at 0.000 eV/atom.

The space group is I4/mmm (No. 139) and the conventional cell measures 7.861, 7.861 and 8.779 Å, with angles of 90.00, 90.00 and 90.00 degrees. The inequivalent atoms are Ac at (0.250, 0.250, 0.250), Hg at (0.000, 0.000, 0.000) and Pb at (0.000, 0.500, 0.000).

***

Entry 6:
Below is a geometry-optimized Ac8HgPb2 structure, with properties calculated at the GGA-PBE level.

The space group is C2/m (No. 12) and the conventional cell measures 21.174, 5.651 and 7.604 Å, with angles of 90.00, 103.01 and 90.00 degrees. The inequivalent atoms are Ac at (0.018, 0.000, 0.271), Ac at (0.091, 0.500, 0.971), Ac at (0.156, 0.500, 0.495), Ac at (0.210, 0.000, 0.830), Hg at (0.000, 0.500, 0.500) and Pb at (0.183, 0.000, 0.264).

***

Entry 7:
Below is a geometry-optimized Ac3Hg2Pb2 structure, with properties calculated at the GGA-PBE level.

The space group is P-1 (No. 2) and the conventional cell measures 5.127, 5.935 and 9.683 Å, with angles of 72.89, 89.87 and 64.56 degrees. The inequivalent atoms are Ac at (0.000, 0.000, 0.000), Ac at (0.280, 0.441, 0.701), Hg at (0.048, 0.904, 0.367) and Pb at (0.358, 0.284, 0.146).

***

Entry 8:
Below is a geometry-optimized Ac3Hg9Pb2 structure, with properties calculated at the GGA-PBE level.

The space group is C2/m (No. 12) and the conventional cell measures 15.575, 10.745 and 5.046 Å, with angles of 90.00, 108.80 and 90.00 degrees. The inequivalent atoms are Ac at (0.000, 0.000, 0.000), Ac at (0.206, 0.500, 0.707), Hg at (0.000, 0.500, 0.000), Hg at (0.149, 0.279, 0.150), Hg at (0.154, 0.132, 0.655) and Pb at (0.000, 0.318, 0.500).

***

Result set for energy relative to the elements: 1; -9; -21; -30; -36; -23; -41; -30 kJ per mole of atoms, one per record in the order listed.
Result set for DOS at the Fermi energy: 2.76; 2.54; 1.01; 0.56; 1.14; 1.17; 0.76; 0.48 states/eV/atom, one per record in the order listed.